# 1
Compound: Pa8ZnTc5
Source: the Alexandria database
Functional: PBE
Structure: relaxed

It has space group I-4 (No. 82), with a = 8.726 Å, b = 8.726 Å, c = 8.125 Å, α = 90.00°, β = 90.00° and γ = 90.00°. The distinct sites, in fractional coordinates, are Pa at (0.049, 0.168, 0.318), Pa at (0.073, 0.307, 0.930), Zn at (0.000, 0.500, 0.250), Tc at (0.000, 0.000, 0.000) and Tc at (0.137, 0.270, 0.602).

---

# 2
Compound: Li2Pr3Pt4
Source: the Alexandria database
Functional: PBE
Structure: relaxed

It has space group C2/m (No. 12), with a = 10.416 Å, b = 4.307 Å, c = 8.820 Å, α = 90.00°, β = 98.35° and γ = 90.00°. The distinct sites, in fractional coordinates, are Li at (0.184, 0.000, 0.289), Pr at (0.000, 0.500, 0.500), Pr at (0.119, 0.000, 0.878), Pt at (0.092, 0.500, 0.135) and Pt at (0.214, 0.000, 0.590).

---

# 3
Compound: CaP
Source: the Alexandria database
Functional: PBE
Structure: relaxed

It has space group Imm2 (No. 44), with a = 4.573 Å, b = 12.244 Å, c = 5.742 Å, α = 90.00°, β = 90.00° and γ = 90.00°. The distinct sites, in fractional coordinates, are Ca at (0.000, 0.000, 0.000), Ca at (0.000, 0.305, 0.054), P at (0.000, 0.342, 0.546) and P at (0.000, 0.500, 0.766).

---

# 4
Compound: Tl2AgPd8
Source: the Alexandria database
Functional: PBE
Structure: relaxed

It has space group Immm (No. 71), with a = 4.016 Å, b = 8.184 Å, c = 11.817 Å, α = 90.00°, β = 90.00° and γ = 90.00°. The distinct sites, in fractional coordinates, are Tl at (0.000, 0.000, 0.155), Ag at (0.000, 0.000, 0.500), Pd at (0.000, 0.250, 0.334), Pd at (0.000, 0.256, 0.000) and Pd at (0.000, 0.500, 0.169).

---

| no. | calculated total energy (eV for the cell shown) |
| --- | --- |
| 1 | -261.1 |
| 2 | -100.3 |
| 3 | -54.4 |
| 4 | -100.3 |